Record 1
## Li5Ag (PBE)

Data for Li5Ag after structural relaxation.

Calculated values
DFT formation energy = 18 meV/atom
size of the total moment = 0.000 Bohr magnetons per cell
D(E_F) = 3.49 states/eV/f.u.
energy = -12.31 eV for the cell shown

abc: 5.3162 5.3162 5.3162
angles: 60.00 60.00 60.00
With the nearest neighbours (Å) after each atom.
Fractional positions:
Li 0.0000 0.0000 0.0000  12 Li 3.12, 4 Ag 3.26
Li 0.1280 0.6240 0.6240  6 Li 2.64-2.68
Li 0.6240 0.1280 0.6240  6 Li 2.64-2.68
Li 0.6240 0.6240 0.1280  6 Li 2.64-2.68
Li 0.6240 0.6240 0.6240  6 Li 2.64-2.68
Ag 0.2500 0.2500 0.2500  16 Li 3.11-3.26

***

Record 2
## Li12Ag17 (PBE)

Data for Li12Ag17 after structural relaxation.

Calculated values
DFT formation energy = -137 meV/atom
size of the total moment = 0.000 Bohr magnetons per cell
D(E_F) = 9.57 states/eV/f.u.
energy = -75.40 eV for the cell shown

abc: 8.5186 8.5186 8.5186
angles: 109.47 109.47 109.47
With the nearest neighbours (Å) after each atom.
Fractional positions:
Li 0.0000 0.6235 0.8046  3 Li 2.52-2.72, 3 Ag 2.61-2.76
Li 0.0000 0.8046 0.6235  3 Li 2.52-2.72, 3 Ag 2.61-2.76
Li 0.1811 0.3765 0.3765  3 Li 2.52-2.72, 3 Ag 2.61-2.76
Li 0.1954 0.1954 0.8189  3 Li 2.52-2.72, 3 Ag 2.61-2.76
Li 0.1954 0.8189 0.1954  3 Li 2.52-2.72, 3 Ag 2.61-2.76
Li 0.3765 0.1811 0.3765  3 Li 2.52-2.72, 3 Ag 2.61-2.76
Li 0.3765 0.3765 0.1811  3 Li 2.52-2.72, 3 Ag 2.61-2.76
Li 0.6235 0.0000 0.8046  3 Li 2.52-2.72, 3 Ag 2.61-2.76
Li 0.6235 0.8046 0.0000  3 Li 2.52-2.72, 3 Ag 2.61-2.76
Li 0.8046 0.0000 0.6235  3 Li 2.52-2.72, 3 Ag 2.61-2.76
Li 0.8046 0.6235 0.0000  3 Li 2.52-2.72, 3 Ag 2.61-2.76
Li 0.8189 0.1954 0.1954  3 Li 2.52-2.72, 3 Ag 2.61-2.76
Ag 0.0000 0.0000 0.0000  4 Ag 2.92, 12 Li 3.08
Ag 0.0000 0.0000 0.3422  4 Ag 2.86-2.92, 6 Li 2.92
Ag 0.0000 0.3166 0.6012  5 Li 2.61-2.90, 3 Ag 2.86-2.91
Ag 0.0000 0.3422 0.0000  4 Ag 2.86-2.92, 6 Li 2.92
Ag 0.0000 0.6012 0.3166  5 Li 2.61-2.90, 3 Ag 2.86-2.91
Ag 0.2846 0.6834 0.6834  5 Li 2.61-2.90, 3 Ag 2.86-2.91
Ag 0.3166 0.0000 0.6012  5 Li 2.61-2.90, 3 Ag 2.86-2.91
Ag 0.3166 0.6012 0.0000  5 Li 2.61-2.90, 3 Ag 2.86-2.91
Ag 0.3422 0.0000 0.0000  4 Ag 2.86-2.92, 6 Li 2.92
Ag 0.3988 0.3988 0.7154  5 Li 2.61-2.90, 3 Ag 2.86-2.91
Ag 0.3988 0.7154 0.3988  5 Li 2.61-2.90, 3 Ag 2.86-2.91
Ag 0.6012 0.0000 0.3166  5 Li 2.61-2.90, 3 Ag 2.86-2.91
Ag 0.6012 0.3166 0.0000  5 Li 2.61-2.90, 3 Ag 2.86-2.91
Ag 0.6578 0.6578 0.6578  4 Ag 2.86-2.92, 6 Li 2.92
Ag 0.6834 0.2846 0.6834  5 Li 2.61-2.90, 3 Ag 2.86-2.91
Ag 0.6834 0.6834 0.2846  5 Li 2.61-2.90, 3 Ag 2.86-2.91
Ag 0.7154 0.3988 0.3988  5 Li 2.61-2.90, 3 Ag 2.86-2.91